The following is a DFT calculation (PBE) of a geometry-optimized CuMoPt4 structure.

Summary:
As for the magnetization: 0.00 μB per formula unit. The value obtained for the excess energy over the best structure of this formula in the dataset is 0 meV/atom.

a = 9.292 Å, b = 2.759 Å, c = 7.798 Å
α = 90.00°, β = 114.75°, γ = 90.00°
Positions (direct):
Cu 0.000 0.000 0.000
Cu 0.500 0.500 0.000
Mo 0.000 0.000 0.500
Mo 0.500 0.500 0.500
Pt 0.161 0.500 0.834
Pt 0.166 0.500 0.331
Pt 0.334 0.000 0.669
Pt 0.339 0.000 0.166
Pt 0.661 0.000 0.834
Pt 0.666 0.000 0.331
Pt 0.834 0.500 0.669
Pt 0.839 0.500 0.166

The following is a DFT calculation (PBE) of a geometry-optimized CaCe2HoBi4 structure.

Summary:
As for the magnetization: 1.01 μB per formula unit. The value obtained for the total energy is -5.047 eV per atom.

a = 7.823 Å, b = 4.585 Å, c = 7.961 Å
α = 90.00°, β = 109.63°, γ = 90.00°
Positions (direct):
Ca 0.000 0.000 0.000
Ce 0.500 0.000 0.500
Ce 0.500 0.500 0.000
Ho 0.000 0.500 0.500
Bi 0.247 0.000 0.745
Bi 0.252 0.500 0.256
Bi 0.748 0.500 0.744
Bi 0.753 0.000 0.255